(1)
This record from Alexandria describes a geometry-optimized Cu5Os structure. The functional is PBE.

Cell lengths 5.7571, 5.7571, 3.6171 Å; angles 90.00, 90.00, 141.57 degrees
Atoms (fractional coordinates):
Cu 0.8309 0.1691 0.5000
Cu 0.1691 0.8309 0.5000
Cu 0.6679 0.3321 0.0000
Cu 0.5000 0.5000 0.5000
Cu 0.3321 0.6679 0.0000
Os 0.0000 0.0000 0.0000

Results
Energy of formation from the pure elements = 273 meV/atom
Space-group type = Cmmm (65)
Energy relative to the lowest polymorph listed for this composition = 111 meV/atom
Magnetic moment = 0.000 μB/f.u.

---

(2)
This record from Alexandria describes a geometry-optimized Cu2Os structure. The functional is PBE.

Cell lengths 5.0830, 5.0830, 6.2968 Å; angles 75.10, 75.10, 29.96 degrees
Atoms (fractional coordinates):
Cu 0.6580 0.6580 0.6678
Cu 0.0051 0.0051 0.0093
Cu 0.6149 0.6149 0.2791
Cu 0.3340 0.3340 0.3287
Os 0.9378 0.9378 0.6091
Os 0.2836 0.2836 0.9393

Results
Energy of formation from the pure elements = 309 meV/atom
Space-group type = Cm (8)
Energy relative to the lowest polymorph listed for this composition = 100 meV/atom
Magnetic moment = 0.000 μB/f.u.

---

(3)
This record from Alexandria describes a geometry-optimized CuOs structure. The functional is PBE.

Cell lengths 2.7058, 8.7015, 2.7058 Å; angles 98.94, 60.00, 98.94 degrees
Atoms (fractional coordinates):
Os 0.4995 0.4986 0.4995
Os 0.7505 0.2514 0.7505
Cu 0.2524 0.7571 0.2524
Cu 0.9976 0.9929 0.9976

Results
Energy of formation from the pure elements = 205 meV/atom
Space-group type = R-3m (166)
Energy relative to the lowest polymorph listed for this composition = 3 meV/atom
Magnetic moment = 0.000 μB/f.u.